# 1
## CuBBrF2 (PBE-GGA)

Data for an optimized crystal structure of CuBBrF2.

Geometry as CIF:
```
data_CuBBrF2
_space_group_name_H-M_alt 'P 4/m m m'
_space_group_IT_number 123
_space_group_name_Hall '-P 4 2'
_cell_length_a 3.727
_cell_length_b 3.727
_cell_length_c 5.462
_cell_angle_alpha 90.00
_cell_angle_beta 90.00
_cell_angle_gamma 90.00
loop_
_atom_site_label
_atom_site_type_symbol
_atom_site_fract_x
_atom_site_fract_y
_atom_site_fract_z
_atom_site_occupancy
Cu1 Cu 0.000 0.000 0.000 1
B1 B 0.000 0.000 0.500 1
Br1 Br 0.500 0.500 0.500 1
F1 F 0.000 0.500 0.000 1
```

## Properties
As for the formation energy without anion corrections: -0.20 eV/atom. Its volume is 15.18 A^3/atom. The density of states at the Fermi level comes out at 0.322 states/eV per atom.


# 2
## Dy5ZnBi2 (PBE-GGA)

Data for an optimized crystal structure of Dy5ZnBi2.

Geometry as CIF:
```
data_Dy5ZnBi2
_space_group_name_H-M_alt 'C m c m'
_space_group_IT_number 63
_space_group_name_Hall '-C 2c 2'
_cell_length_a 5.695
_cell_length_b 11.655
_cell_length_c 14.312
_cell_angle_alpha 90.00
_cell_angle_beta 90.00
_cell_angle_gamma 90.00
loop_
_atom_site_label
_atom_site_type_symbol
_atom_site_fract_x
_atom_site_fract_y
_atom_site_fract_z
_atom_site_occupancy
Dy1 Dy 0.000 0.069 0.250 1
Dy2 Dy 0.000 0.123 0.552 1
Dy3 Dy 0.000 0.428 0.603 1
Zn1 Zn 0.000 0.218 0.750 1
Bi1 Bi 0.000 0.296 0.122 1
```

## Properties
As for the formation energy: -181 kJ/mol of formula units. Its volume is 29.69 A^3/atom. The density of states at the Fermi level comes out at 0.829 states/eV per atom.


# 3
## KBi6 (PBE-GGA)

Data for an optimized crystal structure of KBi6.

Geometry as CIF:
```
data_KBi6
_space_group_name_H-M_alt 'I m -3 m'
_space_group_IT_number 229
_space_group_name_Hall '-I 4 2 3'
_cell_length_a 8.911
_cell_length_b 8.911
_cell_length_c 8.911
_cell_angle_alpha 90.00
_cell_angle_beta 90.00
_cell_angle_gamma 90.00
loop_
_atom_site_label
_atom_site_type_symbol
_atom_site_fract_x
_atom_site_fract_y
_atom_site_fract_z
_atom_site_occupancy
K1 K 0.000 0.000 0.000 1
Bi1 Bi 0.000 0.250 0.500 1
```

## Properties
As for the formation energy: 52 kJ/mol of formula units. Its volume is 50.54 A^3/atom. The density of states at the Fermi level comes out at 0.771 states/eV per atom.


# 4
## LaSbPb2 (PBE-GGA)

Data for an optimized crystal structure of LaSbPb2.

Geometry as CIF:
```
data_LaSbPb2
_space_group_name_H-M_alt 'P m m m'
_space_group_IT_number 47
_cell_length_a 4.759
_cell_length_b 4.866
_cell_length_c 5.168
_cell_angle_alpha 90.00
_cell_angle_beta 90.00
_cell_angle_gamma 90.00
loop_
_space_group_symop_operation_xyz
'x,y,z'
'-x,-y,-z'
'-x,-y,z'
'x,y,-z'
'x,-y,-z'
'-x,y,z'
'-x,y,-z'
'x,-y,z'
loop_
_atom_site_label
_atom_site_type_symbol
_atom_site_fract_x
_atom_site_fract_y
_atom_site_fract_z
_atom_site_occupancy
La1 La 0.000 0.000 0.000 1
Sb1 Sb 0.500 0.500 0.000 1
Pb1 Pb 0.000 0.500 0.500 1
Pb2 Pb 0.500 0.000 0.500 1
```

## Properties
As for the formation energy without anion corrections: -0.52 eV/atom. Its volume is 29.91 A^3/atom. The density of states at the Fermi level comes out at 0.655 states/eV per atom.


Question: Which of these has the lowest density of states at the Fermi level?
Answer: CuBBrF2


Question: Look up the density of states at the Fermi level of the second one.
Answer: 0.829 states/eV per atom


Question: Which of these has the highest density of states at the Fermi level?
Answer: Dy5ZnBi2